1.
Entry from the Alexandria database: a geometry-optimized LaGa12Cu4 structure (PBE).

a b c (Å): 7.500 7.500 7.500
angles (deg): 109.47 109.47 109.47
Fractional positions:
Ga  0.158  0.349  0.507
Ga  0.842  0.349  0.190
Ga  0.190  0.842  0.349
Ga  0.842  0.651  0.493
Cu  0.000  0.500  0.000
Ga  0.349  0.507  0.158
Cu  0.500  0.500  0.500
Ga  0.493  0.842  0.651
Ga  0.349  0.190  0.842
Ga  0.810  0.158  0.651
La  0.000  0.000  0.000
Ga  0.651  0.493  0.842
Ga  0.158  0.651  0.810
Ga  0.651  0.810  0.158
Ga  0.507  0.158  0.349
Cu  0.500  0.000  0.000
Cu  0.000  0.000  0.500

Electronic total energy: -3.459 eV/atom
Formation energy: -0.069 eV/atom

2.
Entry from the Alexandria database: a geometry-optimized OsPbCl2 structure (PBE).

a b c (Å): 10.656 10.656 10.656
angles (deg): 19.30 19.30 19.30
Fractional positions:
Cl  0.545  0.545  0.545
Cl  0.955  0.955  0.955
Pb  0.750  0.750  0.750
Os  0.250  0.250  0.250

Energy above the most stable polymorph in this dataset: 191 meV per atom
Electronic total energy: -4.356 eV/atom

3.
Entry from the Alexandria database: a geometry-optimized Ca2CdGe structure (PBE).

a b c (Å): 7.112 7.112 7.112
angles (deg): 58.40 151.53 130.16
Fractional positions:
Ge  0.000  0.000  0.000
Ca  0.000  0.766  0.766
Cd  0.000  0.500  0.500
Ca  0.000  0.234  0.234

Electronic total energy: -2.040 eV/atom
Formation energy: 0.344 eV/atom

4.
Entry from the Alexandria database: a geometry-optimized Ce2Mg3Zn2 structure (PBE).

a b c (Å): 4.753 5.628 6.742
angles (deg): 89.15 90.00 114.98
Site moments in Bohr magnetons follow the coordinates.
Fractional positions:
Ce  0.595  0.190  0.357  0.47
Zn  0.895  0.789  0.374  0.00
Zn  0.105  0.211  0.626  0.00
Ce  0.405  0.810  0.643  0.47
Mg  0.701  0.403  0.841  0.00
Mg  0.299  0.597  0.159  0.00
Mg  0.000  0.000  0.000  0.00

Electronic total energy: -2.862 eV/atom
Formation energy: -0.120 eV/atom

5.
Entry from the Alexandria database: a geometry-optimized KLaCr2 structure (PBE).

a b c (Å): 4.824 3.493 8.207
angles (deg): 65.14 90.00 90.00
Fractional positions:
K  0.500  0.250  0.250
La  0.500  0.750  0.750
Cr  0.000  0.371  0.628
Cr  0.000  0.129  0.872

Energy above the most stable polymorph in this dataset: 340 meV per atom
Electronic total energy: -5.368 eV/atom
Formation energy: 0.950 eV/atom

6.
Entry from the Alexandria database: a geometry-optimized YZrRe2 structure (PBE).

a b c (Å): 10.343 10.343 10.343
angles (deg): 16.51 16.51 16.51
Fractional positions:
Y  0.507  0.507  0.507
Re  0.992  0.992  0.992
Re  0.260  0.260  0.260
Zr  0.741  0.741  0.741

Energy above the most stable polymorph in this dataset: 395 meV per atom
Electronic total energy: -9.577 eV/atom
Formation energy: 0.400 eV/atom

7.
Entry from the Alexandria database: a geometry-optimized HgRu3 structure (PBE).

a b c (Å): 2.775 3.850 6.485
angles (deg): 90.00 64.79 90.00
Fractional positions:
Ru  0.500  0.000  0.500
Ru  0.784  0.500  0.717
Ru  0.216  0.500  0.283
Hg  0.000  0.000  0.000

Electronic total energy: -6.586 eV/atom
Formation energy: 0.446 eV/atom

8.
Entry from the Alexandria database: a geometry-optimized LiAcAs structure (PBE).

a b c (Å): 4.391 7.609 8.848
angles (deg): 90.00 90.00 90.00
Site moments in Bohr magnetons follow the coordinates.
Fractional positions:
Li  0.750  0.083  0.250  0.04
As  0.250  0.584  0.750  -0.02
Ac  0.250  0.250  0.000  0.16
As  0.250  0.916  0.250  -0.02
Li  0.250  0.917  0.750  0.04
Ac  0.750  0.750  0.500  0.16
As  0.750  0.416  0.250  -0.02
Li  0.250  0.583  0.250  0.04
Ac  0.250  0.250  0.500  0.16
Ac  0.750  0.750  0.000  0.16
Li  0.750  0.417  0.750  0.04
As  0.750  0.084  0.750  -0.02

Energy above the most stable polymorph in this dataset: 20 meV per atom
Electronic total energy: -4.536 eV/atom
Formation energy: -0.979 eV/atom

9.
Entry from the Alexandria database: a geometry-optimized Y2CrPb structure (PBE).

a b c (Å): 4.929 4.926 4.269
angles (deg): 90.00 90.00 90.00
Site moments in Bohr magnetons follow the coordinates.
Fractional positions:
Y  0.500  0.500  0.000  -0.12
Y  0.000  0.000  0.000  -0.12
Pb  0.000  0.500  0.500  -0.03
Cr  0.500  0.000  0.500  3.72

Electronic total energy: -6.618 eV/atom
Formation energy: -0.053 eV/atom

10.
Entry from the Alexandria database: a geometry-optimized NbZn3Rh4 structure (PBE).

a b c (Å): 4.324 6.153 8.647
angles (deg): 90.00 90.00 90.00
Fractional positions:
Rh  0.000  0.246  0.750
Rh  0.500  0.754  0.500
Rh  0.500  0.754  0.000
Nb  0.000  0.500  0.000
Zn  0.000  0.000  0.500
Rh  0.000  0.754  0.750
Zn  0.500  0.500  0.750
Zn  0.500  0.500  0.250
Zn  0.500  0.000  0.250
Zn  0.500  0.000  0.750
Nb  0.000  0.500  0.500
Rh  0.500  0.246  0.000
Rh  0.500  0.246  0.500
Zn  0.000  0.000  0.000
Rh  0.000  0.754  0.250
Rh  0.000  0.246  0.250

Electronic total energy: -5.935 eV/atom
Formation energy: -0.523 eV/atom

11.
Entry from the Alexandria database: a geometry-optimized MgSc2MoH structure (PBE).

a b c (Å): 4.644 4.644 3.790
angles (deg): 90.00 90.00 90.00
Fractional positions:
Sc  0.000  0.500  0.000
Mg  0.500  0.500  0.500
H  0.000  0.000  0.000
Sc  0.500  0.000  0.000
Mo  0.000  0.000  0.500

Electronic total energy: -5.740 eV/atom

12.
Entry from the Alexandria database: a geometry-optimized HfZr2P2 structure (PBE).

a b c (Å): 4.079 4.079 6.284
angles (deg): 71.06 71.06 90.00
Fractional positions:
P  0.401  0.401  0.198
Zr  0.250  0.750  0.500
P  0.599  0.599  0.802
Zr  0.750  0.250  0.500
Hf  0.000  0.000  0.000

Energy above the most stable polymorph in this dataset: 530 meV per atom
Electronic total energy: -8.230 eV/atom
Formation energy: -0.656 eV/atom

13.
Entry from the Alexandria database: a geometry-optimized Pa2Co3Ni2 structure (PBE).

a b c (Å): 6.528 6.528 6.528
angles (deg): 109.47 109.47 109.47
Fractional positions:
Ni  0.385  0.500  0.000
Co  0.974  0.224  0.250
Pa  0.489  0.989  0.989
Co  0.776  0.750  0.026
Pa  0.500  0.511  0.500
Co  0.724  0.250  0.474
Ni  0.115  0.615  0.615
Co  0.250  0.026  0.276
Pa  0.011  0.500  0.000
Ni  0.500  0.885  0.500
Pa  0.000  0.000  0.511
Co  0.526  0.276  0.750
Co  0.750  0.474  0.224
Ni  0.000  0.000  0.885

Electronic total energy: -7.717 eV/atom
Formation energy: -0.307 eV/atom

14.
Entry from the Alexandria database: a geometry-optimized Sm3TmTl4S8 structure (PBE).

a b c (Å): 8.179 8.874 8.179
angles (deg): 117.46 120.00 90.00
Fractional positions:
S  0.771  0.301  0.030
Tm  0.000  0.500  0.000
S  0.266  0.297  0.531
Sm  0.500  0.500  0.000
S  0.734  0.703  0.469
S  0.229  0.699  0.970
S  0.741  0.699  0.970
Tl  0.500  0.000  0.000
Sm  0.000  0.500  0.500
S  0.229  0.699  0.458
S  0.771  0.301  0.542
Tl  0.000  0.000  0.500
Sm  0.500  0.500  0.500
Tl  0.000  0.000  0.000
Tl  0.500  0.000  0.500
S  0.259  0.301  0.030

Electronic total energy: -5.290 eV/atom

15.
Entry from the Alexandria database: a geometry-optimized YBe2Os structure (PBE).

a b c (Å): 3.432 3.224 5.489
angles (deg): 72.92 90.00 90.00
Fractional positions:
Y  0.500  0.796  0.783
Be  0.500  0.052  0.270
Be  0.000  0.155  0.066
Os  0.000  0.497  0.381

Energy above the most stable polymorph in this dataset: 120 meV per atom
Electronic total energy: -6.384 eV/atom
Formation energy: -0.098 eV/atom

16.
Entry from the Alexandria database: a geometry-optimized DyY2Ho2Tm structure (PBE).

a b c (Å): 3.368 6.504 17.653
angles (deg): 90.00 90.00 90.00
Fractional positions:
Y  0.500  0.269  0.316
Ho  0.000  0.271  0.146
Dy  0.000  0.000  0.500
Ho  0.500  0.771  0.354
Y  0.000  0.769  0.184
Tm  0.500  0.500  0.500
Ho  0.500  0.229  0.646
Ho  0.000  0.729  0.854
Dy  0.500  0.500  0.000
Y  0.000  0.231  0.816
Tm  0.000  0.000  0.000
Y  0.500  0.731  0.684

Electronic total energy: -4.922 eV/atom
Formation energy: 0.271 eV/atom

17.
Entry from the Alexandria database: a geometry-optimized NpP3Ru4 structure (PBE).

a b c (Å): 4.029 4.029 7.535
angles (deg): 90.00 90.00 90.00
Site moments in Bohr magnetons follow the coordinates.
Fractional positions:
Ru  0.000  0.500  0.813  -0.07
P  0.500  0.500  0.663  -0.01
Ru  0.000  0.500  0.187  -0.07
P  0.500  0.500  0.337  -0.01
Np  0.000  0.000  0.500  3.51
Ru  0.500  0.000  0.813  -0.07
P  0.000  0.000  0.000  0.01
Ru  0.500  0.000  0.187  -0.07

Electronic total energy: -8.890 eV/atom
Formation energy: -0.605 eV/atom

18.
Entry from the Alexandria database: a geometry-optimized CaSb structure (PBE).

a b c (Å): 6.505 6.505 6.505
angles (deg): 139.53 139.37 58.69
Fractional positions:
Ca  0.000  0.000  0.000
Ca  0.750  0.250  0.500
Sb  0.500  0.500  0.000
Sb  0.250  0.750  0.500

Electronic total energy: -3.844 eV/atom

19.
Entry from the Alexandria database: a geometry-optimized Sc2TiGeC structure (PBE).

a b c (Å): 4.430 4.430 4.192
angles (deg): 90.00 90.00 90.00
Fractional positions:
Ge  0.500  0.500  0.500
C  0.000  0.000  0.000
Sc  0.000  0.500  0.000
Ti  0.000  0.000  0.500
Sc  0.500  0.000  0.000

Electronic total energy: -7.551 eV/atom
Formation energy: -0.671 eV/atom

20.
Entry from the Alexandria database: a geometry-optimized Nd3Ag4Hg4 structure (PBE).

a b c (Å): 3.476 4.922 15.669
angles (deg): 80.92 83.66 89.91
Fractional positions:
Hg  0.548  0.548  0.904
Ag  0.736  0.737  0.527
Ag  0.407  0.906  0.187
Ag  0.264  0.263  0.473
Ag  0.593  0.094  0.813
Hg  0.686  0.187  0.627
Nd  0.000  0.000  0.000
Nd  0.140  0.641  0.719
Hg  0.314  0.813  0.373
Hg  0.452  0.452  0.096
Nd  0.860  0.359  0.281

Electronic total energy: -2.739 eV/atom
Formation energy: -0.292 eV/atom

21.
Entry from the Alexandria database: a geometry-optimized TiZnNiCl structure (PBE).

a b c (Å): 3.106 3.110 8.820
angles (deg): 80.44 88.84 60.09
Fractional positions:
Zn  0.822  0.910  0.306
Cl  0.682  0.263  0.711
Ni  0.108  0.363  0.103
Ti  0.394  0.816  0.905

Energy above the most stable polymorph in this dataset: 94 meV per atom
Electronic total energy: -4.610 eV/atom

22.
Entry from the Alexandria database: a geometry-optimized La5Sm8Th structure (PBE).

a b c (Å): 8.201 9.708 7.322
angles (deg): 100.92 102.78 114.86
Fractional positions:
Sm  0.620  0.395  0.049
Th  0.338  0.535  0.768
La  0.765  0.815  0.188
Sm  0.481  0.959  0.908
La  0.480  0.965  0.410
Sm  0.057  0.674  0.977
Sm  0.199  0.114  0.629
La  0.761  0.816  0.699
Sm  0.623  0.398  0.559
La  0.916  0.255  0.837
Sm  0.915  0.257  0.347
Sm  0.339  0.535  0.267
La  0.198  0.108  0.126
Sm  0.058  0.674  0.486

Electronic total energy: -4.958 eV/atom
Formation energy: 0.029 eV/atom

23.
Entry from the Alexandria database: a geometry-optimized Cs2K4CdAu2 structure (PBE).

a b c (Å): 6.414 8.019 11.190
angles (deg): 105.92 111.16 80.31
Fractional positions:
K  0.592  0.749  0.033
Au  0.064  0.632  0.959
Au  0.936  0.368  0.041
K  0.408  0.251  0.967
Cs  0.298  0.700  0.309
Cs  0.702  0.300  0.691
K  0.960  0.256  0.317
Cd  0.000  0.000  0.000
K  0.040  0.744  0.683

Electronic total energy: -1.660 eV/atom
Formation energy: -0.152 eV/atom

24.
Entry from the Alexandria database: a geometry-optimized TaIr2Br structure (PBE).

a b c (Å): 2.887 2.887 9.814
angles (deg): 90.00 90.00 119.56
Site moments in Bohr magnetons follow the coordinates.
Fractional positions:
Ta  0.000  0.000  0.489  0.00
Ir  0.500  0.500  0.260  0.01
Br  0.500  0.500  0.724  0.00
Ir  0.000  0.000  0.027  0.07

Energy above the most stable polymorph in this dataset: 653 meV per atom
Electronic total energy: -7.207 eV/atom

25.
Entry from the Alexandria database: a geometry-optimized TmSc3Mn structure (PBE).

a b c (Å): 4.926 4.926 4.926
angles (deg): 90.00 90.00 90.00
Site moments in Bohr magnetons follow the coordinates.
Fractional positions:
Sc  0.000  0.500  0.000  -0.03
Mn  0.000  0.000  0.000  0.32
Sc  0.000  0.000  0.500  -0.03
Tm  0.500  0.500  0.500  -0.03
Sc  0.500  0.000  0.000  -0.03

Electronic total energy: -6.383 eV/atom
Formation energy: 0.144 eV/atom